Crystalline KRb4F5 at its relaxed geometry, computed with PBE-GGA.

Results
calculated total energy	-4.107	eV per atom
M_tot	0.4	μB per cell
raw formation energy	-2675	meV per atom
SG	I4/mmm, No. 139

Cell: 4.014 4.014 14.433 Å, 97.99 97.99 90.00°
Element x y z (fractional)
K 0.000 0.000 0.000
Rb 0.402 0.402 0.804
Rb 0.801 0.801 0.602
Rb 0.199 0.199 0.398
Rb 0.598 0.598 0.196
F 0.096 0.096 0.193
F 0.500 0.500 0.000
F 0.904 0.904 0.807
F 0.301 0.301 0.601
F 0.699 0.699 0.399